Run i
A geometry-optimized Cs2CdAuO structure. Source: Alexandria via LeMat-Bulk, functional GGA-PBE.

Properties
**Calculated volume**: 179 Å³ per cell
**Symmetry**: P4/mmm (123)

a = 6.354 Å, b = 6.354 Å, c = 4.440 Å
α = 90.00°, β = 90.00°, γ = 90.00°
Positions (direct):
Cs  0.000  0.500  0.000
Cs  0.500  0.000  0.000
Cd  0.000  0.000  0.500
Au  0.500  0.500  0.500
O  0.000  0.000  0.000



Run ii
A geometry-optimized Cs2CdAuO structure. Source: Alexandria via LeMat-Bulk, functional GGA-PBE.

Properties
**Calculated volume**: 335 Å³ per cell
**Symmetry**: P2_1/m (11)

a = 7.569 Å, b = 4.995 Å, c = 9.217 Å
α = 90.00°, β = 105.90°, γ = 90.00°
Positions (direct):
Cs  0.098  0.250  0.355
Cs  0.218  0.250  0.973
Cs  0.782  0.750  0.027
Cs  0.902  0.750  0.645
Cd  0.446  0.750  0.309
Cd  0.554  0.250  0.691
Au  0.395  0.750  0.649
Au  0.605  0.250  0.351
O  0.163  0.750  0.184
O  0.837  0.250  0.816



run ii takes first place; second place is 124 meV per atom up.



Run i
A geometry-optimized CsRbCdAu structure. Source: Alexandria via LeMat-Bulk, functional GGA-PBE.

Properties
**Calculated volume**: 202 Å³ per cell
**Symmetry**: Cm (8)

a = 5.024 Å, b = 5.024 Å, c = 9.683 Å
α = 105.22°, β = 105.22°, γ = 60.01°
Positions (direct):
Cs  0.000  0.000  0.000
Rb  0.173  0.173  0.515
Cd  0.757  0.757  0.269
Au  0.423  0.423  0.267



Run ii
A geometry-optimized CsRbCdAu structure. Source: Alexandria via LeMat-Bulk, functional GGA-PBE.

Properties
**Calculated volume**: 174 Å³ per cell
**Symmetry**: F-43m (216)

a = 6.271 Å, b = 6.271 Å, c = 6.271 Å
α = 60.00°, β = 60.00°, γ = 60.00°
Positions (direct):
Cs  0.000  0.000  0.000
Rb  0.500  0.500  0.500
Cd  0.250  0.250  0.250
Au  0.750  0.750  0.750



run i takes first place; second place is 114 meV per atom up.



Run i
A geometry-optimized CsTlCd2Au structure. Source: Alexandria via LeMat-Bulk, functional GGA-PBE.

Properties
**Calculated volume**: 173 Å³ per cell
**Symmetry**: P4/mmm (123)

a = 5.501 Å, b = 5.501 Å, c = 5.708 Å
α = 90.00°, β = 90.00°, γ = 90.00°
Positions (direct):
Cs  0.000  0.000  0.000
Tl  0.500  0.500  0.000
Cd  0.000  0.500  0.500
Cd  0.500  0.000  0.500
Au  0.500  0.500  0.500



Run ii
A geometry-optimized CsTlCd2Au structure. Source: Alexandria via LeMat-Bulk, functional GGA-PBE.

Properties
**Calculated volume**: 161 Å³ per cell
**Symmetry**: Imm2 (44)

a = 7.239 Å, b = 7.239 Å, c = 7.239 Å
α = 139.69°, β = 138.58°, γ = 59.17°
Positions (direct):
Cs  0.000  0.000  0.000
Tl  0.257  0.757  0.500
Cd  0.612  0.612  0.000
Cd  0.762  0.262  0.500
Au  0.385  0.385  0.000



run ii takes first place; second place is 46 meV per atom up.



Run i
A geometry-optimized CsZnCd2Au structure. Source: Alexandria via LeMat-Bulk, functional GGA-PBE.

Properties
**Calculated volume**: 155 Å³ per cell
**Symmetry**: P4/mmm (123)

a = 5.488 Å, b = 5.488 Å, c = 5.136 Å
α = 90.00°, β = 90.00°, γ = 90.00°
Positions (direct):
Cs  0.000  0.000  0.000
Zn  0.500  0.500  0.000
Cd  0.000  0.500  0.500
Cd  0.500  0.000  0.500
Au  0.500  0.500  0.500



Run ii
A geometry-optimized CsZnCd2Au structure. Source: Alexandria via LeMat-Bulk, functional GGA-PBE.

Properties
**Calculated volume**: 151 Å³ per cell
**Symmetry**: P4/mmm (123)

a = 5.366 Å, b = 5.366 Å, c = 5.249 Å
α = 90.00°, β = 90.00°, γ = 90.00°
Positions (direct):
Cs  0.000  0.000  0.000
Zn  0.500  0.500  0.500
Cd  0.000  0.500  0.500
Cd  0.500  0.000  0.500
Au  0.500  0.500  0.000



run i takes first place; second place is 78 meV per atom up.



Run i
A geometry-optimized Cd2CuAu2 structure. Source: Alexandria via LeMat-Bulk, functional GGA-PBE.

Properties
**Calculated volume**: 186 Å³ per cell
**Symmetry**: Ibam (72)

a = 7.511 Å, b = 7.511 Å, c = 7.511 Å
α = 136.61°, β = 60.68°, γ = 139.74°
Positions (direct):
Cd  0.105  0.141  0.246
Cd  0.395  0.641  0.036
Cd  0.605  0.359  0.964
Cd  0.895  0.859  0.754
Cu  0.250  0.750  0.500
Cu  0.750  0.250  0.500
Au  0.174  0.653  0.827
Au  0.326  0.153  0.480
Au  0.674  0.847  0.520
Au  0.826  0.347  0.173



Run ii
A geometry-optimized Cd2CuAu2 structure. Source: Alexandria via LeMat-Bulk, functional GGA-PBE.

Properties
**Calculated volume**: 105 Å³ per cell
**Symmetry**: I4/mmm (139)

a = 7.709 Å, b = 7.709 Å, c = 7.709 Å
α = 151.37°, β = 151.37°, γ = 40.93°
Positions (direct):
Cd  0.096  0.096  0.000
Cd  0.904  0.904  0.000
Cu  0.500  0.500  0.000
Au  0.250  0.750  0.500
Au  0.750  0.250  0.500



run i takes first place; second place is 177 meV per atom up.



Run i
A geometry-optimized Cd2CuAu2 structure. Source: Alexandria via LeMat-Bulk, functional GGA-PBE.

Properties
**Calculated volume**: 192 Å³ per cell
**Symmetry**: P4/mbm (127)

a = 6.875 Å, b = 6.875 Å, c = 4.054 Å
α = 90.00°, β = 90.00°, γ = 90.00°
Positions (direct):
Cd  0.160  0.340  0.000
Cd  0.340  0.840  0.000
Cd  0.660  0.160  0.000
Cd  0.840  0.660  0.000
Cu  0.000  0.000  0.500
Cu  0.500  0.500  0.500
Au  0.147  0.647  0.500
Au  0.353  0.147  0.500
Au  0.647  0.853  0.500
Au  0.853  0.353  0.500



Run ii
A geometry-optimized Cd2CuAu2 structure. Source: Alexandria via LeMat-Bulk, functional GGA-PBE.

Properties
**Calculated volume**: 192 Å³ per cell
**Symmetry**: C2/m (12)

a = 7.283 Å, b = 7.283 Å, c = 6.760 Å
α = 99.48°, β = 99.48°, γ = 32.90°
Positions (direct):
Cd  0.025  0.025  0.260
Cd  0.241  0.241  0.659
Cd  0.759  0.759  0.341
Cd  0.975  0.975  0.740
Cu  0.220  0.220  0.075
Cu  0.780  0.780  0.925
Au  0.400  0.400  0.427
Au  0.401  0.401  0.993
Au  0.599  0.599  0.007
Au  0.600  0.600  0.573



run ii takes first place; second place is 39 meV per atom up.



Run i
A geometry-optimized Cd2Cu2Au structure. Source: Alexandria via LeMat-Bulk, functional GGA-PBE.

Properties
**Calculated volume**: 92 Å³ per cell
**Symmetry**: I4/mmm (139)

a = 6.761 Å, b = 6.761 Å, c = 6.761 Å
α = 146.79°, β = 146.79°, γ = 47.67°
Positions (direct):
Cd  0.250  0.750  0.500
Cd  0.750  0.250  0.500
Cu  0.093  0.093  0.000
Cu  0.907  0.907  0.000
Au  0.500  0.500  0.000



Run ii
A geometry-optimized Cd2Cu2Au structure. Source: Alexandria via LeMat-Bulk, functional GGA-PBE.

Properties
**Calculated volume**: 174 Å³ per cell
**Symmetry**: P4/mbm (127)

a = 6.767 Å, b = 6.767 Å, c = 3.797 Å
α = 90.00°, β = 90.00°, γ = 90.00°
Positions (direct):
Cd  0.168  0.332  0.000
Cd  0.332  0.832  0.000
Cd  0.668  0.168  0.000
Cd  0.832  0.668  0.000
Cu  0.130  0.630  0.500
Cu  0.370  0.130  0.500
Cu  0.630  0.870  0.500
Cu  0.870  0.370  0.500
Au  0.000  0.000  0.500
Au  0.500  0.500  0.500



Run iii
A geometry-optimized Cd2Cu2Au structure. Source: Alexandria via LeMat-Bulk, functional GGA-PBE.

Properties
**Calculated volume**: 173 Å³ per cell
**Symmetry**: P4/mbm (127)

a = 7.577 Å, b = 7.577 Å, c = 3.014 Å
α = 90.00°, β = 90.00°, γ = 90.00°
Positions (direct):
Cd  0.143  0.357  0.000
Cd  0.357  0.857  0.000
Cd  0.643  0.143  0.000
Cd  0.857  0.643  0.000
Cu  0.155  0.655  0.500
Cu  0.345  0.155  0.500
Cu  0.655  0.845  0.500
Cu  0.845  0.345  0.500
Au  0.000  0.000  0.000
Au  0.500  0.500  0.000



Run iv
A geometry-optimized Cd2Cu2Au structure. Source: Alexandria via LeMat-Bulk, functional GGA-PBE.

Properties
**Calculated volume**: 91 Å³ per cell
**Symmetry**: I4/mmm (139)

a = 8.007 Å, b = 8.007 Å, c = 8.007 Å
α = 155.13°, β = 155.13°, γ = 35.45°
Positions (direct):
Cd  0.108  0.108  0.000
Cd  0.892  0.892  0.000
Cu  0.250  0.750  0.500
Cu  0.750  0.250  0.500
Au  0.500  0.500  0.000



run ii takes first place; second place is 35 meV per atom up.



Run i
A geometry-optimized CdCuAu3 structure. Source: Alexandria via LeMat-Bulk, functional GGA-PBE.

Properties
**Calculated volume**: 137 Å³ per cell
**Symmetry**: Pm-3m (221)

a = 5.156 Å, b = 5.156 Å, c = 5.156 Å
α = 90.00°, β = 90.00°, γ = 90.00°
Positions (direct):
Cd  0.000  0.000  0.000
Cu  0.500  0.500  0.500
Au  0.000  0.000  0.500
Au  0.000  0.500  0.000
Au  0.500  0.000  0.000



Run ii
A geometry-optimized CdCuAu3 structure. Source: Alexandria via LeMat-Bulk, functional GGA-PBE.

Properties
**Calculated volume**: 180 Å³ per cell
**Symmetry**: Pmma (51)

a = 7.867 Å, b = 3.381 Å, c = 6.783 Å
α = 90.00°, β = 90.00°, γ = 90.00°
Positions (direct):
Cd  0.250  0.000  0.082
Cd  0.750  0.000  0.918
Cu  0.000  0.000  0.500
Cu  0.500  0.000  0.500
Au  0.062  0.500  0.802
Au  0.250  0.500  0.436
Au  0.438  0.500  0.802
Au  0.562  0.500  0.198
Au  0.750  0.500  0.564
Au  0.938  0.500  0.198



Run iii
A geometry-optimized CdCuAu3 structure. Source: Alexandria via LeMat-Bulk, functional GGA-PBE.

Properties
**Calculated volume**: 183 Å³ per cell
**Symmetry**: Pmmn (59)

a = 4.207 Å, b = 6.911 Å, c = 6.302 Å
α = 90.00°, β = 90.00°, γ = 90.00°
Positions (direct):
Cd  0.250  0.250  0.230
Cd  0.750  0.750  0.770
Cu  0.250  0.750  0.051
Cu  0.750  0.250  0.949
Au  0.250  0.045  0.780
Au  0.250  0.455  0.780
Au  0.250  0.750  0.462
Au  0.750  0.250  0.538
Au  0.750  0.545  0.220
Au  0.750  0.955  0.220



Run iv
A geometry-optimized CdCuAu3 structure. Source: Alexandria via LeMat-Bulk, functional GGA-PBE.

Properties
**Calculated volume**: 111 Å³ per cell
**Symmetry**: Pm-3m (221)

a = 4.802 Å, b = 4.802 Å, c = 4.802 Å
α = 90.00°, β = 90.00°, γ = 90.00°
Positions (direct):
Cd  0.000  0.000  0.000
Cu  0.500  0.500  0.500
Au  0.000  0.500  0.500
Au  0.500  0.000  0.500
Au  0.500  0.500  0.000



run ii takes first place; second place is 43 meV per atom up.



Run i
A geometry-optimized CdCu2Au2 structure. Source: Alexandria via LeMat-Bulk, functional GGA-PBE.

Properties
**Calculated volume**: 90 Å³ per cell
**Symmetry**: I4/mmm (139)

a = 6.588 Å, b = 6.588 Å, c = 6.588 Å
α = 145.72°, β = 145.72°, γ = 49.26°
Positions (direct):
Cd  0.000  0.000  0.000
Cu  0.402  0.402  0.000
Cu  0.598  0.598  0.000
Au  0.250  0.750  0.500
Au  0.750  0.250  0.500



Run ii
A geometry-optimized CdCu2Au2 structure. Source: Alexandria via LeMat-Bulk, functional GGA-PBE.

Properties
**Calculated volume**: 169 Å³ per cell
**Symmetry**: P4/mbm (127)

a = 7.502 Å, b = 7.502 Å, c = 3.010 Å
α = 90.00°, β = 90.00°, γ = 90.00°
Positions (direct):
Cd  0.000  0.000  0.000
Cd  0.500  0.500  0.000
Cu  0.160  0.340  0.500
Cu  0.340  0.840  0.500
Cu  0.660  0.160  0.500
Cu  0.840  0.660  0.500
Au  0.137  0.637  0.000
Au  0.363  0.137  0.000
Au  0.637  0.863  0.000
Au  0.863  0.363  0.000



Run iii
A geometry-optimized CdCu2Au2 structure. Source: Alexandria via LeMat-Bulk, functional GGA-PBE.

Properties
**Calculated volume**: 88 Å³ per cell
**Symmetry**: P-3m1 (164)

a = 4.426 Å, b = 4.426 Å, c = 5.207 Å
α = 90.00°, β = 90.00°, γ = 120.00°
Positions (direct):
Cd  0.000  0.000  0.000
Cu  0.333  0.667  0.838
Cu  0.667  0.333  0.162
Au  0.333  0.667  0.342
Au  0.667  0.333  0.658



run ii takes first place; second place is 33 meV per atom up.



Run i
A geometry-optimized CdCu2Au2 structure. Source: Alexandria via LeMat-Bulk, functional GGA-PBE.

Properties
**Calculated volume**: 88 Å³ per cell
**Symmetry**: I4/mmm (139)

a = 7.283 Å, b = 7.283 Å, c = 7.283 Å
α = 151.50°, β = 151.50°, γ = 40.74°
Positions (direct):
Cd  0.000  0.000  0.000
Cu  0.250  0.750  0.500
Cu  0.750  0.250  0.500
Au  0.394  0.394  0.000
Au  0.606  0.606  0.000



Run ii
A geometry-optimized CdCu2Au2 structure. Source: Alexandria via LeMat-Bulk, functional GGA-PBE.

Properties
**Calculated volume**: 166 Å³ per cell
**Symmetry**: P4/mbm (127)

a = 7.421 Å, b = 7.421 Å, c = 3.010 Å
α = 90.00°, β = 90.00°, γ = 90.00°
Positions (direct):
Cd  0.000  0.000  0.000
Cd  0.500  0.500  0.000
Cu  0.121  0.379  0.000
Cu  0.379  0.879  0.000
Cu  0.621  0.121  0.000
Cu  0.879  0.621  0.000
Au  0.174  0.674  0.500
Au  0.326  0.174  0.500
Au  0.674  0.826  0.500
Au  0.826  0.326  0.500



run ii takes first place; second place is 59 meV per atom up.